Zn2SbWO6, relaxed, DFT GGA+U; spin magnetization = 2.0 Bohr magnetons per cell; energy = -5.80 eV per atom; energy above the lowest structure with this stoichiometry = 42 meV/atom; crystal system = monoclinic
1.0
-2.721 4.310 -6.187
3.218 -2.881 -3.423
-4.001 -3.732 -0.840
Zn Sb W O
4 2 2 12
Direct
0.750 0.491 0.471
0.250 0.509 0.529
0.750 0.978 0.015
0.250 0.022 0.985
0.500 0.500 0.000
0.000 0.500 0.000
0.500 0.000 0.500
0.000 0.000 0.500
0.431 0.324 0.363
0.071 0.863 0.191
0.931 0.676 0.637
0.571 0.137 0.809
0.429 0.863 0.191
0.929 0.137 0.809
0.250 0.373 0.874
0.069 0.324 0.363
0.750 0.103 0.376
0.569 0.676 0.637
0.750 0.627 0.126
0.250 0.897 0.624